[1]
Material: LaErTh2As4
Method: DFT, PBE-GGA
State: relaxed

Output
Energy of formation: -1.4645 eV per atom
Electronic total energy: -54.64 eV/cell

Lattice parameters (Å, degrees): 4.250 7.331 7.357 70.40 90.00 90.00
Fractional coordinates of all 8 atoms:
La: 0.000 0.500 0.500
Er: 0.500 0.500 0.000
Th: 0.000 0.000 0.000
Th: 0.500 0.000 0.500
As: 0.000 0.746 0.758
As: 0.000 0.254 0.242
As: 0.500 0.752 0.243
As: 0.500 0.248 0.757

=====

[2]
Material: La2Er3TmAs6
Method: DFT, PBE-GGA
State: relaxed

Output
Energy of formation: -1.5127 eV per atom
Electronic total energy: -74.06 eV/cell

Lattice parameters (Å, degrees): 4.184 8.361 9.344 102.92 102.94 90.00
Fractional coordinates of all 12 atoms:
La: 0.835 0.670 0.670
La: 0.165 0.330 0.330
Er: 0.500 0.500 0.000
Er: 0.833 0.165 0.666
Er: 0.167 0.835 0.334
Tm: 0.500 0.000 0.000
As: 0.334 0.928 0.669
As: 0.663 0.592 0.326
As: 0.666 0.072 0.331
As: 0.996 0.246 0.992
As: 0.004 0.754 0.008
As: 0.337 0.408 0.674